Crystalline MgCdTe2 at its relaxed geometry, computed with PBE.

Values from the calculation:
E_tot = -11.41 eV/f.u.
V = 139.7 Å³/cell

a = 4.6254 Å, b = 4.6254 Å, c = 6.5316 Å
α = 90.00°, β = 90.00°, γ = 90.00°
With the nearest neighbours (Å) after each atom.
Fractional positions:
Mg1 0.0000 0.0000 0.0000  4 Te 2.81
Cd1 0.5000 0.5000 0.5000  4 Te 2.86
Te1 0.0000 0.5000 0.2432  2 Mg 2.81, 2 Cd 2.86
Te2 0.5000 0.0000 0.7568  2 Mg 2.81, 2 Cd 2.86

***

Crystalline MgZnCd2Te4 at its relaxed geometry, computed with PBE.

Values from the calculation:
E_tot = -21.70 eV/f.u.
V = 537.5 Å³/cell

a = 6.4647 Å, b = 6.4647 Å, c = 12.8603 Å
α = 90.00°, β = 90.00°, γ = 90.00°
With the nearest neighbours (Å) after each atom.
Fractional positions:
Mg1 0.0000 0.0000 0.0000  4 Te 2.79
Mg2 0.5000 0.5000 0.5000  4 Te 2.79
Zn1 0.0000 0.5000 0.7500  4 Te 2.68
Zn2 0.5000 0.0000 0.2500  4 Te 2.68
Cd1 0.0000 0.0000 0.5000  4 Te 2.85
Cd2 0.0000 0.5000 0.2500  4 Te 2.86
Cd3 0.5000 0.0000 0.7500  4 Te 2.86
Cd4 0.5000 0.5000 0.0000  4 Te 2.85
Te1 0.2335 0.7422 0.8716  1 Zn 2.68, 1 Mg 2.79, 2 Cd 2.85-2.86
Te2 0.2422 0.2665 0.6284  1 Zn 2.68, 1 Mg 2.79, 2 Cd 2.85-2.86
Te3 0.2578 0.2335 0.1284  1 Zn 2.68, 1 Mg 2.79, 2 Cd 2.85-2.86
Te4 0.2665 0.7578 0.3716  1 Zn 2.68, 1 Mg 2.79, 2 Cd 2.85-2.86
Te5 0.7335 0.2422 0.3716  1 Zn 2.68, 1 Mg 2.79, 2 Cd 2.85-2.86
Te6 0.7422 0.7665 0.1284  1 Zn 2.68, 1 Mg 2.79, 2 Cd 2.85-2.86
Te7 0.7578 0.7335 0.6284  1 Zn 2.68, 1 Mg 2.79, 2 Cd 2.85-2.86
Te8 0.7665 0.2578 0.8716  1 Zn 2.68, 1 Mg 2.79, 2 Cd 2.85-2.86

***

Crystalline Th3Mg2Cd4 at its relaxed geometry, computed with PBE.

Values from the calculation:
E_tot = -30.17 eV/f.u.
V = 229.8 Å³/cell

a = 6.1339 Å, b = 6.1339 Å, c = 9.5111 Å
α = 119.04°, β = 119.04°, γ = 49.44°
With the nearest neighbours (Å) after each atom.
Fractional positions:
Th1 0.0000 0.0000 0.0000  2 Th 3.36, 8 Cd 3.39-3.42, 4 Mg 3.41
Th2 0.3344 0.3344 0.3328  2 Th 3.35-3.36, 8 Cd 3.38-3.42, 4 Mg 3.40-3.41
Th3 0.6656 0.6656 0.6672  2 Th 3.35-3.36, 8 Cd 3.38-3.42, 4 Mg 3.40-3.41
Mg1 0.3873 0.3873 0.7205  3 Cd 2.95
Mg2 0.6127 0.6127 0.2795  3 Cd 2.95
Cd1 0.0557 0.0557 0.3870  2 Mg 2.95, 1 Cd 3.00
Cd2 0.2769 0.2769 0.9413  1 Mg 2.95, 2 Cd 2.98
Cd3 0.7231 0.7231 0.0587  1 Mg 2.95, 2 Cd 2.98
Cd4 0.9443 0.9443 0.6130  2 Mg 2.95, 1 Cd 3.00

***

Crystalline ThMgCd at its relaxed geometry, computed with PBE.

Values from the calculation:
E_tot = -8.92 eV/f.u.
V = 341.7 Å³/cell

a = 6.9914 Å, b = 6.9914 Å, c = 6.9914 Å
α = 90.00°, β = 90.00°, γ = 90.00°
With the nearest neighbours (Å) after each atom.
Fractional positions:
Th1 0.0000 0.0000 0.0000  4 Mg 3.03
Th2 0.0000 0.5000 0.5000  4 Mg 3.03
Th3 0.5000 0.0000 0.5000  4 Mg 3.03
Th4 0.5000 0.5000 0.0000  4 Mg 3.03
Mg1 0.2500 0.2500 0.7500  4 Cd 3.03, 4 Th 3.03
Mg2 0.2500 0.7500 0.2500  4 Cd 3.03, 4 Th 3.03
Mg3 0.7500 0.2500 0.2500  4 Cd 3.03, 4 Th 3.03
Mg4 0.7500 0.7500 0.7500  4 Cd 3.03, 4 Th 3.03
Cd1 0.0000 0.0000 0.5000  4 Mg 3.03
Cd2 0.0000 0.5000 0.0000  4 Mg 3.03
Cd3 0.5000 0.0000 0.0000  4 Mg 3.03
Cd4 0.5000 0.5000 0.5000  4 Mg 3.03